# 1
# FeCoSi2

A PBEsol-optimized structure of FeCoSi2 (meta-GGA SCAN, the Alexandria database).

## Properties
Final energy in eV/atom: -14.261
N(E_F) in states/eV/cell: 3.859
SG: Cm (8)
Total moment in μB per atom: 0.000

Lattice parameters (Å, degrees): 8.2802 2.6855 3.9258 90.00 105.01 90.00
Sites, in units of the cell vectors:
Fe1 0.0000 0.0000 0.0000
Fe2 0.5000 0.5000 0.0000
Co1 0.2684 0.5000 0.3937
Co2 0.7684 0.0000 0.3937
Si1 0.0082 0.5000 0.5085
Si2 0.2629 0.0000 0.8906
Si3 0.5082 0.0000 0.5085
Si4 0.7629 0.5000 0.8906

# 2
# NiAg2As

A PBEsol-optimized structure of NiAg2As (meta-GGA SCAN, the Alexandria database).

## Properties
Final energy in eV/atom: -24.564
N(E_F) in states/eV/cell: 6.118
SG: F-43m (216)
Total moment in μB per atom: 0.000

Lattice parameters (Å, degrees): 6.2391 6.2391 6.2391 90.00 90.00 90.00
Sites, in units of the cell vectors:
Ni1 0.0000 0.0000 0.0000
Ni2 0.0000 0.5000 0.5000
Ni3 0.5000 0.0000 0.5000
Ni4 0.5000 0.5000 0.0000
Ag1 0.0000 0.0000 0.5000
Ag2 0.0000 0.5000 0.0000
Ag3 0.2500 0.2500 0.7500
Ag4 0.2500 0.7500 0.2500
Ag5 0.5000 0.0000 0.0000
Ag6 0.5000 0.5000 0.5000
Ag7 0.7500 0.2500 0.2500
Ag8 0.7500 0.7500 0.7500
As1 0.2500 0.2500 0.2500
As2 0.2500 0.7500 0.7500
As3 0.7500 0.2500 0.7500
As4 0.7500 0.7500 0.2500

# 3
# TlSnF7

A PBEsol-optimized structure of TlSnF7 (meta-GGA SCAN, the Alexandria database).

## Properties
Final energy in eV/atom: -17.039
N(E_F) in states/eV/cell: 0.000
SG: P2_1/c (14)
Total moment in μB per atom: 0.014

Lattice parameters (Å, degrees): 8.7806 5.4572 11.9483 90.00 117.82 90.00
Sites, in units of the cell vectors:
Tl1 0.1854 0.2389 0.2636
Tl2 0.1854 0.2611 0.7636
Tl3 0.8146 0.7389 0.2364
Tl4 0.8146 0.7611 0.7364
Sn1 0.2703 0.7373 0.0424
Sn2 0.2703 0.7627 0.5424
Sn3 0.7297 0.2373 0.4576
Sn4 0.7297 0.2627 0.9576
F1 0.0156 0.7444 0.9507
F2 0.0156 0.7556 0.4507
F3 0.0394 0.6075 0.7286
F4 0.0394 0.8925 0.2286
F5 0.2595 0.0803 0.4567
F6 0.2595 0.4197 0.9567
F7 0.2690 0.5447 0.1843
F8 0.2690 0.9553 0.6843
F9 0.2860 0.0306 0.1451
F10 0.2860 0.4694 0.6451
F11 0.2897 0.5636 0.4115
F12 0.2897 0.9364 0.9115
F13 0.4758 0.2028 0.3703
F14 0.4758 0.2972 0.8703
F15 0.5242 0.7028 0.1297
F16 0.5242 0.7972 0.6297
F17 0.7103 0.0636 0.0885
F18 0.7103 0.4364 0.5885
F19 0.7140 0.5306 0.3549
F20 0.7140 0.9694 0.8549
F21 0.7310 0.0447 0.3157
F22 0.7310 0.4553 0.8157
F23 0.7405 0.5803 0.0433
F24 0.7405 0.9197 0.5433
F25 0.9606 0.1075 0.7714
F26 0.9606 0.3925 0.2714
F27 0.9844 0.2444 0.5493
F28 0.9844 0.2556 0.0493

Question: The highest final energy belongs to which entry?
Answer: FeCoSi2

Copy entry 3 word for word.
# TlSnF7

A PBEsol-optimized structure of TlSnF7 (meta-GGA SCAN, the Alexandria database).

## Properties
Final energy in eV/atom: -17.039
N(E_F) in states/eV/cell: 0.000
SG: P2_1/c (14)
Total moment in μB per atom: 0.014

Lattice parameters (Å, degrees): 8.7806 5.4572 11.9483 90.00 117.82 90.00
Sites, in units of the cell vectors:
Tl1 0.1854 0.2389 0.2636
Tl2 0.1854 0.2611 0.7636
Tl3 0.8146 0.7389 0.2364
Tl4 0.8146 0.7611 0.7364
Sn1 0.2703 0.7373 0.0424
Sn2 0.2703 0.7627 0.5424
Sn3 0.7297 0.2373 0.4576
Sn4 0.7297 0.2627 0.9576
F1 0.0156 0.7444 0.9507
F2 0.0156 0.7556 0.4507
F3 0.0394 0.6075 0.7286
F4 0.0394 0.8925 0.2286
F5 0.2595 0.0803 0.4567
F6 0.2595 0.4197 0.9567
F7 0.2690 0.5447 0.1843
F8 0.2690 0.9553 0.6843
F9 0.2860 0.0306 0.1451
F10 0.2860 0.4694 0.6451
F11 0.2897 0.5636 0.4115
F12 0.2897 0.9364 0.9115
F13 0.4758 0.2028 0.3703
F14 0.4758 0.2972 0.8703
F15 0.5242 0.7028 0.1297
F16 0.5242 0.7972 0.6297
F17 0.7103 0.0636 0.0885
F18 0.7103 0.4364 0.5885
F19 0.7140 0.5306 0.3549
F20 0.7140 0.9694 0.8549
F21 0.7310 0.0447 0.3157
F22 0.7310 0.4553 0.8157
F23 0.7405 0.5803 0.0433
F24 0.7405 0.9197 0.5433
F25 0.9606 0.1075 0.7714
F26 0.9606 0.3925 0.2714
F27 0.9844 0.2444 0.5493
F28 0.9844 0.2556 0.0493